Record 1
A plane-wave DFT calculation with PBE was carried out for a relaxed PmCN2Cl crystal.

Lattice parameters (Å, degrees): 5.3777 3.8498 7.5072 90.00 98.49 90.00
Last column: nearest neighbours and their distance in Å.
Space group P2_1/m (No. 11)
Symmetry-distinct sites (fractional):
Pm  0.1623  0.2500  0.2348  5 N 2.50-2.62
C  0.3515  0.2500  0.8575  2 N 1.22-1.25
N  0.1272  0.2500  0.8834  1 C 1.25
N  0.4284  0.7500  0.1643  1 C 1.22
Cl  0.2475  0.7500  0.5343  3 Pm 2.94-3.00, 3 N 3.08-3.27, 2 C 3.08, 2 Cl 3.26

Final energy = -7.669 eV/atom
Spin magnetization = 0.00 μB per formula unit
V = 15.4 Å³/atom



Record 2
A plane-wave DFT calculation with PBE was carried out for a relaxed Nd4SmPu3S8 crystal.

Lattice parameters (Å, degrees): 8.0178 8.0178 19.7903 90.00 90.00 120.00
Last column: nearest neighbours and their distance in Å.
Space group R-3m (No. 166, hexagonal axes)
Symmetry-distinct sites (fractional):
Nd  0.0000  0.0000  0.0000  6 S 2.86
Nd  0.0000  0.5000  0.0000  6 S 2.88-2.89
Sm  0.0000  0.0000  0.5000  6 S 2.82
Pu  0.0000  0.5000  0.5000  6 S 2.80
S  0.0000  0.0000  0.2463  3 Pu 2.80, 3 Nd 2.89
S  0.0025  0.5012  0.7528  2 Pu 2.80, 1 Sm 2.82, 3 Nd 2.86-2.88

Final energy = -8.183 eV/atom
Spin magnetization = 16.83 μB per formula unit
V = 23.0 Å³/atom



Record 3
A plane-wave DFT calculation with PBE was carried out for a relaxed Ti2ZnO4 crystal.

Lattice parameters (Å, degrees): 5.9620 6.1426 8.3867 90.00 90.00 90.00
Last column: nearest neighbours and their distance in Å.
Space group Imma (No. 74)
Symmetry-distinct sites (fractional):
Ti  0.0000  0.0000  0.0000  6 O 2.03-2.04
Ti  0.2500  0.2500  0.2500  6 O 2.07-2.12
Zn  0.2500  0.2500  0.7500  6 O 2.14-2.16
O  0.0000  0.0045  0.2432  3 Ti 2.04-2.12, 2 Zn 2.16
O  0.2221  0.2500  0.0040  3 Ti 2.03-2.07, 1 Zn 2.14

Final energy = -7.568 eV/atom
Energy above the most stable polymorph in this dataset = 16.3 kJ/mol of atoms
Spin magnetization = 0.00 μB per formula unit
V = 11.0 Å³/atom



Record 4
A plane-wave DFT calculation with PBE was carried out for a relaxed MgMoPt crystal.

Lattice parameters (Å, degrees): 2.7941 4.0132 8.5716 90.00 90.00 90.00
Last column: nearest neighbours and their distance in Å.
Space group Imm2 (No. 44)
Symmetry-distinct sites (fractional):
Mg  0.0000  0.0000  0.0000  5 Mo 2.77-2.88, 2 Mg 2.79, 5 Pt 2.82-2.87
Mo  0.0000  0.0000  0.6769  5 Mg 2.77-2.88, 2 Mo 2.79, 5 Pt 2.80-2.93
Pt  0.0000  0.0000  0.3353  2 Pt 2.79, 5 Mo 2.80-2.93, 5 Mg 2.82-2.87

Final energy = -6.243 eV/atom
Energy above the most stable polymorph in this dataset = 24.4 kJ/mol of atoms
Spin magnetization = 0.00 μB per formula unit
V = 16.0 Å³/atom



Record 5
A plane-wave DFT calculation with PBE was carried out for a relaxed FeCu2PtBr crystal.

Lattice parameters (Å, degrees): 4.4884 4.4884 4.4575 90.00 90.00 90.00
Last column: nearest neighbours and their distance in Å.
Space group P4/mmm (No. 123)
Symmetry-distinct sites (fractional):
Fe  0.0000  0.0000  0.0000  2 Br 2.23
Cu  0.0000  0.5000  0.5000  2 Br 2.24
Pt  0.5000  0.5000  0.0000  8 Cu 3.16, 4 Fe 3.17
Br  0.0000  0.0000  0.5000  2 Fe 2.23, 4 Cu 2.24

Final energy = -3.793 eV/atom
Spin magnetization = 2.98 μB per formula unit
V = 18.0 Å³/atom



Record 6
A plane-wave DFT calculation with PBE was carried out for a relaxed SrDyBO4 crystal.

Lattice parameters (Å, degrees): 5.0748 5.2652 6.8077 90.00 107.77 90.00
Last column: nearest neighbours and their distance in Å.
Space group P2_1/m (No. 11)
Symmetry-distinct sites (fractional):
Sr  0.2045  0.2500  0.4263  8 O 2.58-2.74
Dy  0.2828  0.2500  0.9604  6 O 2.26-2.40
B  0.2823  0.7500  0.1929  4 O 1.50-1.52
O  0.0928  0.7500  0.3240  1 B 1.50
O  0.1243  0.7500  0.9632  1 B 1.52
O  0.4686  0.5233  0.2327  1 B 1.50

Final energy = -7.720 eV/atom
Spin magnetization = 0.00 μB per formula unit
V = 12.4 Å³/atom



Record 7
A plane-wave DFT calculation with PBE was carried out for a relaxed Ho3Se2I2 crystal.

Lattice parameters (Å, degrees): 4.0379 7.0526 7.6193 98.38 90.00 106.63
Last column: nearest neighbours and their distance in Å.
Space group P-1 (No. 2)
Symmetry-distinct sites (fractional):
Ho  0.0000  0.0000  0.0000  4 Se 2.84, 2 I 3.16
Ho  0.2508  0.5006  0.8093  3 Se 2.80-2.87, 2 I 3.12
Se  0.3853  0.7716  0.1385  5 Ho 2.80-2.87
I  0.1269  0.2545  0.3839  4 Ho 3.12-3.41

Final energy = -4.857 eV/atom
Spin magnetization = 0.00 μB per formula unit
V = 29.4 Å³/atom



Record 8
A plane-wave DFT calculation with PBE was carried out for a relaxed Tb8Sm2Al crystal.

Lattice parameters (Å, degrees): 5.4333 7.5066 17.2079 90.00 90.00 90.00
Last column: nearest neighbours and their distance in Å.
Space group Immm (No. 71)
Symmetry-distinct sites (fractional):
Tb  0.0000  0.0000  0.1805  8 Tb 3.46-3.67, 4 Sm 3.48-3.76
Tb  0.0000  0.2354  0.3674  1 Al 3.03
Tb  0.0000  0.2456  0.0000  2 Al 3.28, 6 Tb 3.55-3.61
Sm  0.0000  0.5000  0.1929  10 Tb 3.40-3.76
Al  0.0000  0.5000  0.5000  8 Tb 3.03-3.28

Final energy = -4.545 eV/atom
Energy above the most stable polymorph in this dataset = 4.2 kJ/mol of atoms
Spin magnetization = 0.00 μB per formula unit
V = 31.9 Å³/atom



Record 9
A plane-wave DFT calculation with PBE was carried out for a relaxed AlZn2Rh crystal.

Lattice parameters (Å, degrees): 3.6797 3.6797 8.2831 90.00 90.00 90.00
Last column: nearest neighbours and their distance in Å.
Space group I4/mmm (No. 139)
Symmetry-distinct sites (fractional):
Al  0.0000  0.0000  0.0000  4 Rh 2.60, 8 Zn 2.77
Zn  0.0000  0.5000  0.2500  4 Zn 2.60, 4 Al 2.77, 4 Rh 2.77
Rh  0.0000  0.0000  0.5000  4 Al 2.60, 8 Zn 2.77

Final energy = -3.899 eV/atom
Spin magnetization = 0.00 μB per formula unit
V = 14.0 Å³/atom



Record 10
A plane-wave DFT calculation with PBE was carried out for a relaxed CeZnGa3 crystal.

Lattice parameters (Å, degrees): 6.1023 6.1288 10.4636 90.00 90.00 90.00
Last column: nearest neighbours and their distance in Å.
Space group Fmm2 (No. 42)
Symmetry-distinct sites (fractional):
Ce  0.0000  0.0000  0.0000  12 Ga 3.26-3.40, 4 Zn 3.31-3.32
Zn  0.0000  0.0000  0.6216  5 Ga 2.42-2.54
Ga  0.0000  0.0000  0.3902  1 Zn 2.42, 4 Ga 2.62
Ga  0.2500  0.2500  0.2495  2 Zn 2.54, 2 Ga 2.62

Final energy = -3.688 eV/atom
Spin magnetization = 0.91 μB per formula unit
V = 19.6 Å³/atom



Record 11
A plane-wave DFT calculation with PBE was carried out for a relaxed InCo2TcH crystal.

Lattice parameters (Å, degrees): 3.9426 3.9426 3.8024 90.00 90.00 90.00
Last column: nearest neighbours and their distance in Å.
Space group P4/mmm (No. 123)
Symmetry-distinct sites (fractional):
In  0.0000  0.0000  0.0000  8 Co 2.74, 4 Tc 2.79
Co  0.0000  0.5000  0.5000  2 H 1.97
Tc  0.5000  0.5000  0.0000  2 H 1.90
H  0.5000  0.5000  0.5000  2 Tc 1.90, 4 Co 1.97

Final energy = -5.946 eV/atom
Spin magnetization = 3.98 μB per formula unit
V = 11.8 Å³/atom



Record 12
A plane-wave DFT calculation with PBE was carried out for a relaxed TcBi2S2 crystal.

Lattice parameters (Å, degrees): 3.4029 3.4029 19.9639 90.00 90.00 90.00
Last column: nearest neighbours and their distance in Å.
Space group I4/mmm (No. 139)
Symmetry-distinct sites (fractional):
Tc  0.0000  0.0000  0.0000  8 Bi 2.93
Bi  0.0000  0.0000  0.4163  4 Tc 2.93
S  0.0000  0.5000  0.2500  4 S 2.41

Final energy = -4.960 eV/atom
Energy above the most stable polymorph in this dataset = 0.0 kJ/mol of atoms
Spin magnetization = 0.00 μB per formula unit
V = 23.1 Å³/atom